No. 1
VASP calculation (PBE) on a relaxed structure of NaPb3C.

Values from the calculation:
Calculated volume ... 138.27 Å³/cell
Distance to the lowest polymorph of the same formula ... 0 kJ/mol of formula units
DFT formation energy ... 0.812 eV per atom

CIF file:
```
data_NaPb3C
_chemical_formula_sum 'Na1 Pb3 C1'
_cell_length_a 5.1710
_cell_length_b 5.1710
_cell_length_c 5.1710
_cell_angle_alpha 90.00
_cell_angle_beta 90.00
_cell_angle_gamma 90.00
_symmetry_space_group_name_H-M 'P m -3 m'
_symmetry_Int_Tables_number 221
_symmetry_space_group_name_Hall '-P 4 2 3'
loop_
_atom_site_label
_atom_site_type_symbol
_atom_site_fract_x
_atom_site_fract_y
_atom_site_fract_z
Na1 Na 0.0000 0.0000 0.0000
Pb1 Pb 0.0000 0.5000 0.5000
C1 C 0.5000 0.5000 0.5000
```



No. 2
VASP calculation (PBE) on a relaxed structure of LiLaRe.

Values from the calculation:
Calculated volume ... 60.10 Å³/cell
Distance to the lowest polymorph of the same formula ... 0 kJ/mol of formula units
DFT formation energy ... 0.523 eV per atom

CIF file:
```
data_LiLaRe
_chemical_formula_sum 'Li1 La1 Re1'
_cell_length_a 5.0077
_cell_length_b 5.0077
_cell_length_c 2.7674
_cell_angle_alpha 90.00
_cell_angle_beta 90.00
_cell_angle_gamma 120.00
_symmetry_space_group_name_H-M 'P 3 m 1'
_symmetry_Int_Tables_number 156
loop_
_symmetry_equiv_pos_as_xyz
'x,y,z'
'-y,x-y,z'
'-x+y,-x,z'
'-y,-x,z'
'-x+y,y,z'
'x,x-y,z'
loop_
_atom_site_label
_atom_site_type_symbol
_atom_site_fract_x
_atom_site_fract_y
_atom_site_fract_z
Li1 Li 0.0000 0.0000 0.0000
La1 La 0.6667 0.3333 0.6872
Re1 Re 0.3333 0.6667 0.2295
```